# Pa3Tl2CoO12

A relaxed Pa3Tl2CoO12 crystal (PBE+U, Alexandria via LeMat-Bulk).

a b c (Å): 7.6052 7.6052 7.6052
angles (deg): 63.00 63.00 63.00
Element x y z (fractional)
Pa 0.0000 0.5000 0.5000
Pa 0.5000 0.0000 0.5000
Pa 0.5000 0.5000 0.0000
Tl 0.1136 0.1136 0.1136
Tl 0.8864 0.8864 0.8864
Co 0.5000 0.5000 0.5000
O 0.1713 0.1713 0.5636
O 0.1713 0.5636 0.1713
O 0.2238 0.5535 0.5535
O 0.4364 0.8287 0.8287
O 0.4465 0.4465 0.7762
O 0.4465 0.7762 0.4465
O 0.5535 0.2238 0.5535
O 0.5535 0.5535 0.2238
O 0.5636 0.1713 0.1713
O 0.7762 0.4465 0.4465
O 0.8287 0.4364 0.8287
O 0.8287 0.8287 0.4364

DOS(E_F), states/eV/cell: 7.48
Spin magnetization, Bohr magnetons per cell: 4.1
Final energy, eV/atom: -7.567
ρ, kg/m³: 6771